Record 1
Density functional theory data (PBE-GGA) for an optimized crystal structure of PmNi2Sn2.

For the calculated volume, the calculation gives 19.8 A^3/atom.

The structure belongs to space group P2_1/m (No. 11); the cell edges are 4.4507, 4.3971 and 10.1437 Å and the angles 90.00°, 91.75° and 90.00°. The asymmetric unit holds Pm at (0.2331, 0.2500, 0.2390), Ni at (0.1987, 0.7500, 0.0002), Ni at (0.2580, 0.2500, 0.6297), Sn at (0.2503, 0.7500, 0.4991) and Sn at (0.2862, 0.2500, 0.8767).

***

Record 2
Density functional theory data (PBE-GGA) for an optimized crystal structure of Sc4ZnB3.

For the calculated volume, the calculation gives 16.4 A^3/atom.

The structure belongs to space group P6_3/mmc (No. 194); the cell edges are 3.2851, 3.2851 and 28.1357 Å and the angles 90.00°, 90.00° and 120.00°. The asymmetric unit holds Sc at (0.0000, 0.0000, 0.1660), Sc at (0.3333, 0.6667, 0.0565), Zn at (0.3333, 0.6667, 0.2500), B at (0.0000, 0.0000, 0.0000) and B at (0.3333, 0.6667, 0.6149).

***

Record 3
Density functional theory data (PBE-GGA) for an optimized crystal structure of SrNdSn2.

For the calculated volume, the calculation gives 36.9 A^3/atom.

The structure belongs to space group Amm2 (No. 38); the cell edges are 3.5100, 6.4719 and 13.0003 Å and the angles 90.00°, 90.00° and 90.00°. The asymmetric unit holds Sr at (0.0000, 0.0000, 0.0000), Nd at (0.0000, 0.0000, 0.7052), Sn at (0.0000, 0.0000, 0.2519) and Sn at (0.0000, 0.0000, 0.4695).

***

In the order shown, the computed energy values come out to -53.2; -92.5; -28.8 eV for the cell shown.
In the order shown, the computed spin magnetization values come out to 0.0; 0.4; 0.2 μB/f.u..